## MoWO3 (PBE with a Hubbard U)

Data for MoWO3 after structural relaxation.

Electronic total energy ... -6.844 eV/atom

a b c (Å): 4.004 4.004 4.004
angles (deg): 90.00 90.00 90.00
Space group Pm-3m (No. 221)
Unique sites:
1 Mo 0.000 0.000 0.000
2 W 0.500 0.500 0.500
3 O 0.000 0.500 0.500